A plane-wave DFT calculation with SCAN was carried out for AsPbBr at its PBEsol-relaxed geometry.

Cell: 7.028 7.028 7.028 Å, 90.00 90.00 90.00°
Space group F-43m (No. 216)
Unique sites:
As1 0.000 0.000 0.000 [4 per cell]
Pb1 0.000 0.000 0.500 [4 per cell]
Br1 0.250 0.250 0.750 [4 per cell]

Summary:
- Energy relative to the elements, uncorrected: 635 meV per atom
- ΔE to the lowest computed polymorph: 647 meV/atom
- N(E_F): 2.81 states/eV/f.u.
- E_tot: -37.842 eV/atom
- Size of the total moment: 0.471 μB/atom

---

A plane-wave DFT calculation with SCAN was carried out for Tl2FeRh at its PBEsol-relaxed geometry.

Cell: 3.930 3.930 9.075 Å, 90.00 90.00 90.00°
Space group I-4m2 (No. 119)
Unique sites:
Tl1 0.000 0.000 0.000 [2 per cell]
Tl2 0.000 0.500 0.250 [2 per cell]
Fe1 0.000 0.000 0.500 [2 per cell]
Rh1 0.000 0.500 0.750 [2 per cell]

Summary:
- ΔE to the lowest computed polymorph: 212 meV/atom
- N(E_F): 2.69 states/eV/f.u.
- E_tot: -48.736 eV/atom
- Formation energy from the elements: 0.42 eV per atom
- Size of the total moment: 0.763 μB/atom

---

A plane-wave DFT calculation with SCAN was carried out for InHg4 at its PBEsol-relaxed geometry.

Cell: 6.654 6.654 6.654 Å, 90.00 90.00 90.00°
Space group Im-3m (No. 229)
Unique sites:
In1 0.000 0.000 0.000 [2 per cell]
Hg1 0.250 0.250 0.250 [8 per cell]

Summary:
- ΔE to the lowest computed polymorph: 48 meV/atom
- N(E_F): 1.06 states/eV/f.u.
- E_tot: -61.147 eV/atom
- Formation energy from the elements: 0.06 eV per atom
- Size of the total moment: 0.000 μB/atom

---

A plane-wave DFT calculation with SCAN was carried out for CaAg2Rh at its PBEsol-relaxed geometry.

Cell: 4.033 4.033 4.281 Å, 90.00 90.00 90.00°
Space group P4/mmm (No. 123)
Unique sites:
Ca1 0.000 0.000 0.000 [1 per cell]
Ag1 0.000 0.500 0.500 [2 per cell]
Rh1 0.500 0.500 0.000 [1 per cell]

Summary:
- ΔE to the lowest computed polymorph: 0 meV/atom
- N(E_F): 1.76 states/eV/f.u.
- E_tot: -26.692 eV/atom
- Formation energy from the elements: -0.15 eV per atom
- Size of the total moment: 0.000 μB/atom

---

A plane-wave DFT calculation with SCAN was carried out for La3YTa at its PBEsol-relaxed geometry.

Cell: 5.574 5.574 5.574 Å, 90.00 90.00 90.00°
Space group Pm-3m (No. 221)
Unique sites:
La1 0.000 0.000 0.500 [3 per cell]
Y1 0.000 0.000 0.000 [1 per cell]
Ta1 0.500 0.500 0.500 [1 per cell]

Summary:
- N(E_F): 6.36 states/eV/f.u.
- E_tot: -43.274 eV/atom
- Formation energy from the elements: 1.47 eV per atom
- Size of the total moment: 0.899 μB/atom

---

A plane-wave DFT calculation with SCAN was carried out for LaSnSb2I at its PBEsol-relaxed geometry.

Cell: 5.988 5.988 5.924 Å, 90.00 90.00 90.00°
Space group P4/mmm (No. 123)
Unique sites:
La1 0.000 0.000 0.000 [1 per cell]
Sn1 0.500 0.500 0.500 [1 per cell]
Sb1 0.000 0.500 0.000 [2 per cell]
I1 0.000 0.000 0.500 [1 per cell]

Summary:
- Energy relative to the elements, uncorrected: 250 meV per atom
- N(E_F): 4.26 states/eV/f.u.
- E_tot: -37.808 eV/atom
- Size of the total moment: 0.000 μB/atom

---

A plane-wave DFT calculation with SCAN was carried out for Ho2CuRh at its PBEsol-relaxed geometry.

Cell: 6.747 6.747 6.747 Å, 90.00 90.00 90.00°
Space group Fm-3m (No. 225)
Unique sites:
Ho1 0.250 0.250 0.250 [8 per cell]
Cu1 0.000 0.000 0.000 [4 per cell]
Rh1 0.000 0.000 0.500 [4 per cell]

Summary:
- N(E_F): 2.19 states/eV/f.u.
- E_tot: -37.419 eV/atom
- Formation energy from the elements: -0.68 eV per atom
- Size of the total moment: 0.000 μB/atom

---

A plane-wave DFT calculation with SCAN was carried out for Er2InAg at its PBEsol-relaxed geometry.

Cell: 7.230 7.230 7.230 Å, 90.00 90.00 90.00°
Space group Fm-3m (No. 225)
Unique sites:
Er1 0.250 0.250 0.250 [8 per cell]
In1 0.000 0.000 0.000 [4 per cell]
Ag1 0.000 0.000 0.500 [4 per cell]

Summary:
- N(E_F): 1.74 states/eV/f.u.
- E_tot: -41.871 eV/atom
- Formation energy from the elements: -0.51 eV per atom
- Size of the total moment: 0.000 μB/atom

---

A plane-wave DFT calculation with SCAN was carried out for AlAg5 at its PBEsol-relaxed geometry.

Cell: 10.443 2.880 6.756 Å, 90.00 105.87 90.00°
Space group Cm (No. 8)
Unique sites:
Al1 0.000 0.000 0.000 [2 per cell]
Ag1 0.109 0.500 0.737 [2 per cell]
Ag2 0.163 0.500 0.324 [2 per cell]
Ag3 0.287 0.000 0.061 [2 per cell]
Ag4 0.331 0.000 0.669 [2 per cell]
Ag5 0.448 0.500 0.396 [2 per cell]

Summary:
- ΔE to the lowest computed polymorph: 10 meV/atom
- N(E_F): 1.57 states/eV/f.u.
- E_tot: -27.489 eV/atom
- Formation energy from the elements: -0.06 eV per atom
- Size of the total moment: 0.000 μB/atom

---

A plane-wave DFT calculation with SCAN was carried out for Be2SN at its PBEsol-relaxed geometry.

Cell: 4.444 4.444 8.362 Å, 90.00 90.00 90.00°
Space group I-42d (No. 122)
Unique sites:
Be1 0.156 0.250 0.125 [8 per cell]
S1 0.000 0.000 0.500 [4 per cell]
N1 0.000 0.000 0.000 [4 per cell]

Summary:
- Energy relative to the elements, uncorrected: -712 meV per atom
- ΔE to the lowest computed polymorph: 0 meV/atom
- N(E_F): 1.94 states/eV/f.u.
- E_tot: -7.619 eV/atom
- Size of the total moment: 0.089 μB/atom

---

A plane-wave DFT calculation with SCAN was carried out for SrAg2Cl at its PBEsol-relaxed geometry.

Cell: 7.285 7.285 7.285 Å, 90.00 90.00 90.00°
Space group Fm-3m (No. 225)
Unique sites:
Sr1 0.000 0.000 0.000 [4 per cell]
Ag1 0.250 0.250 0.250 [8 per cell]
Cl1 0.000 0.000 0.500 [4 per cell]

Summary:
- Energy relative to the elements, uncorrected: -168 meV per atom
- ΔE to the lowest computed polymorph: 642 meV/atom
- N(E_F): 4.51 states/eV/f.u.
- E_tot: -23.415 eV/atom
- Size of the total moment: 0.001 μB/atom

---

A plane-wave DFT calculation with SCAN was carried out for Li2TaOs at its PBEsol-relaxed geometry.

Cell: 2.663 4.799 4.740 Å, 90.00 95.61 90.00°
Space group P2/m (No. 10)
Unique sites:
Li1 0.212 0.000 0.268 [2 per cell]
Ta1 0.500 0.500 0.000 [1 per cell]
Os1 0.000 0.500 0.500 [1 per cell]

Summary:
- ΔE to the lowest computed polymorph: 41 meV/atom
- N(E_F): 2.00 states/eV/f.u.
- E_tot: -35.664 eV/atom
- Formation energy from the elements: 0.15 eV per atom
- Size of the total moment: 0.000 μB/atom

---

A plane-wave DFT calculation with SCAN was carried out for BeCO2 at its PBEsol-relaxed geometry.

Cell: 2.5351 2.5351 14.0050 Å, 90.00 90.00 120.00°
Space group R-3m (No. 166, hexagonal axes)
Unique sites:
Be1 0.0000 0.0000 0.0000 [3 per cell]
C1 0.0000 0.0000 0.5000 [3 per cell]
O1 0.0000 0.0000 0.4023 [6 per cell]

Summary:
- Energy relative to the elements, uncorrected: -519 meV per atom
- ΔE to the lowest computed polymorph: 0 meV/atom
- N(E_F): 0.35 states/eV/f.u.
- E_tot: -7.248 eV/atom
- Size of the total moment: 0.000 μB/atom

---

A plane-wave DFT calculation with SCAN was carried out for CsH4NF2 at its PBEsol-relaxed geometry.

Cell: 7.293 4.099 13.591 Å, 90.00 90.00 90.00°
Space group Pnma (No. 62)
Unique sites:
Cs1 0.129 0.250 0.142 [4 per cell]
H1 0.040 0.750 0.355 [4 per cell]
H2 0.199 0.538 0.430 [8 per cell]
H3 0.235 0.250 0.826 [4 per cell]
N1 0.172 0.750 0.387 [4 per cell]
F1 0.113 0.250 0.733 [4 per cell]
F2 0.221 0.750 0.993 [4 per cell]

Summary:
- N(E_F): 0.00 states/eV/f.u.
- E_tot: -9.921 eV/atom
- Size of the total moment: 0.009 μB/atom

---

A plane-wave DFT calculation with SCAN was carried out for BiTeNF2 at its PBEsol-relaxed geometry.

Cell: 4.395 4.395 4.677 Å, 90.00 90.00 90.00°
Space group P4/mmm (No. 123)
Unique sites:
Bi1 0.000 0.000 0.000 [1 per cell]
Te1 0.500 0.500 0.500 [1 per cell]
N1 0.000 0.000 0.500 [1 per cell]
F1 0.000 0.500 0.000 [2 per cell]

Summary:
- Energy relative to the elements, uncorrected: -229 meV per atom
- N(E_F): 2.72 states/eV/f.u.
- E_tot: -26.669 eV/atom
- Size of the total moment: 0.157 μB/atom

---

A plane-wave DFT calculation with SCAN was carried out for Ce3Sn5Au6 at its PBEsol-relaxed geometry.

Cell: 4.523 13.390 10.261 Å, 90.00 90.00 90.00°
Space group Pmmn (No. 59, origin choice 2)
Unique sites:
Ce1 0.250 0.069 0.247 [4 per cell]
Ce2 0.250 0.750 0.244 [2 per cell]
Sn1 0.250 0.085 0.877 [4 per cell]
Sn2 0.250 0.609 0.524 [4 per cell]
Sn3 0.250 0.750 0.775 [2 per cell]
Au1 0.250 0.087 0.621 [4 per cell]
Au2 0.250 0.250 0.038 [2 per cell]
Au3 0.250 0.250 0.442 [2 per cell]
Au4 0.250 0.606 0.978 [4 per cell]

Summary:
- N(E_F): 10.11 states/eV/f.u.
- E_tot: -52.719 eV/atom
- Formation energy from the elements: -0.70 eV per atom
- Size of the total moment: 0.220 μB/atom

---

A plane-wave DFT calculation with SCAN was carried out for Y2TaAl at its PBEsol-relaxed geometry.

Cell: 3.111 3.111 9.282 Å, 90.00 90.00 90.00°
Space group P4/mmm (No. 123)
Unique sites:
Y1 0.000 0.000 0.249 [2 per cell]
Ta1 0.500 0.500 0.500 [1 per cell]
Al1 0.500 0.500 0.000 [1 per cell]

Summary:
- N(E_F): 3.48 states/eV/f.u.
- E_tot: -32.431 eV/atom
- Formation energy from the elements: 0.07 eV per atom
- Size of the total moment: 0.000 μB/atom

---

A plane-wave DFT calculation with SCAN was carried out for La2CrSi at its PBEsol-relaxed geometry.

Cell: 5.189 5.189 7.368 Å, 90.00 90.00 90.00°
Space group I4/mmm (No. 139)
Unique sites:
La1 0.000 0.500 0.250 [4 per cell]
Cr1 0.000 0.000 0.000 [2 per cell]
Si1 0.000 0.000 0.500 [2 per cell]

Summary:
- Energy relative to the elements, uncorrected: -162 meV per atom
- N(E_F): 2.18 states/eV/f.u.
- E_tot: -28.814 eV/atom
- Size of the total moment: 1.060 μB/atom

---

A plane-wave DFT calculation with SCAN was carried out for TbCdPd2 at its PBEsol-relaxed geometry.

Cell: 6.667 6.667 6.667 Å, 90.00 90.00 90.00°
Space group Fm-3m (No. 225)
Unique sites:
Tb1 0.000 0.000 0.000 [4 per cell]
Cd1 0.000 0.000 0.500 [4 per cell]
Pd1 0.250 0.250 0.250 [8 per cell]

Summary:
- N(E_F): 1.87 states/eV/f.u.
- E_tot: -36.451 eV/atom
- Formation energy from the elements: -0.77 eV per atom
- Size of the total moment: 0.000 μB/atom

---

A plane-wave DFT calculation with SCAN was carried out for LaSiRh2 at its PBEsol-relaxed geometry.

Cell: 3.870 3.870 9.248 Å, 90.00 90.00 90.00°
Space group I-4m2 (No. 119)
Unique sites:
La1 0.000 0.000 0.000 [2 per cell]
Si1 0.000 0.500 0.750 [2 per cell]
Rh1 0.000 0.000 0.500 [2 per cell]
Rh2 0.000 0.500 0.250 [2 per cell]

Summary:
- Energy relative to the elements, uncorrected: -403 meV per atom
- N(E_F): 2.02 states/eV/f.u.
- E_tot: -30.569 eV/atom
- Size of the total moment: 0.000 μB/atom

---

A plane-wave DFT calculation with SCAN was carried out for LiSiIr at its PBEsol-relaxed geometry.

Cell: 4.0346 4.0346 2.8577 Å, 90.00 90.00 120.00°
Space group P-6m2 (No. 187)
Unique sites:
Li1 0.0000 0.0000 0.0000 [1 per cell]
Si1 0.3333 0.6667 0.5000 [1 per cell]
Ir1 0.6667 0.3333 0.5000 [1 per cell]

Summary:
- Energy relative to the elements, uncorrected: -570 meV per atom
- N(E_F): 0.77 states/eV/f.u.
- E_tot: -28.405 eV/atom
- Size of the total moment: 0.000 μB/atom